Below is a geometry-optimized Tb2YNi9 structure, with properties calculated at the PBE-GGA level.

abc: 4.970 4.970 8.626
angles: 73.26 73.26 60.00
Each line ends with the local moment (μB).
Fractional positions:
Y: 0.000 0.000 0.000  -0.02
Ni: 0.418 0.418 0.245  0.12
Tb: 0.139 0.139 0.583  -0.03
Ni: 0.081 0.582 0.755  0.12
Ni: 0.500 0.500 0.500  0.07
Ni: 0.333 0.333 0.001  0.17
Ni: 0.582 0.582 0.755  0.12
Ni: 0.582 0.081 0.755  0.12
Ni: 0.418 0.919 0.245  0.12
Ni: 0.667 0.667 0.999  0.17
Tb: 0.861 0.861 0.417  -0.03
Ni: 0.919 0.418 0.245  0.12

Computed properties:
The density of states at the Fermi level is 1.259 states/eV per atom. Its energy is -72.558 eV per cell. As for the density: 8.92 g/cm3.